(1)
Compound: Tm2ZnCd3
Source: Alexandria via LeMat-Bulk
Functional: GGA-PBE
Structure: relaxed

Cell: 6.8267 9.6371 16.6886 Å, 90.00 90.00 90.00°
Space group Fmmm (No. 69)
Inequivalent atoms, fractional coordinates:
Tm 0.2493 0.0000 0.0000 x8
Tm 0.2500 0.2500 0.2500 x8
Zn 0.0000 0.0000 0.1667 x8
Cd 0.0000 0.0000 0.3297 x8
Cd 0.0000 0.2444 0.0855 x16

Summary:
Calculated formation energy   -1.74 eV per formula unit
Spin magnetization   0.0 μB/cell
VASP energy   -2.451 eV per atom
ρ   8.96 g cm⁻³
Crystal system   orthorhombic

***

(2)
Compound: Li4LaCd4
Source: Alexandria via LeMat-Bulk
Functional: GGA-PBE
Structure: relaxed

Cell: 6.2181 6.2181 10.1427 Å, 90.00 90.00 90.00°
Space group P4_2/nmc (No. 137, origin choice 2)
Inequivalent atoms, fractional coordinates:
Li 0.0279 0.2500 0.1711 x8
La 0.2500 0.7500 0.2500 x2
Cd 0.0217 0.2500 0.4556 x8

Summary:
Calculated formation energy   -1.33 eV per formula unit
Spin magnetization   0.0 μB/cell
VASP energy   -1.952 eV per atom
ρ   5.22 g cm⁻³
Crystal system   tetragonal

***

(3)
Compound: CaSnB2Ru
Source: Alexandria via LeMat-Bulk
Functional: GGA-PBE
Structure: relaxed

Cell: 4.4418 4.4418 4.9150 Å, 90.00 90.00 90.00°
Space group P4/mmm (No. 123)
Inequivalent atoms, fractional coordinates:
Ca 0.0000 0.0000 0.0000 x1
Sn 0.5000 0.5000 0.5000 x1
B 0.0000 0.5000 0.0000 x2
Ru 0.0000 0.0000 0.5000 x1

Summary:
Calculated formation energy   11.40 eV per formula unit
Spin magnetization   0.0 μB/cell
VASP energy   -3.448 eV per atom
ρ   4.82 g cm⁻³
Crystal system   tetragonal

***

(4)
Compound: PuPN2
Source: Alexandria via LeMat-Bulk
Functional: GGA-PBE
Structure: relaxed

Cell: 2.7871 2.7871 20.2922 Å, 90.00 90.00 120.00°
Space group R-3m (No. 166, hexagonal axes)
Inequivalent atoms, fractional coordinates:
Pu 0.0000 0.0000 0.0000 x3
P 0.0000 0.0000 0.5000 x3
N 0.0000 0.0000 0.1200 x6

Summary:
Spin magnetization   13.7 μB/cell
VASP energy   -9.059 eV per atom
ρ   11.06 g cm⁻³
Crystal system   trigonal
Raw formation energy   0.039 eV per atom

***

(5)
Compound: AlRh4Cl
Source: Alexandria via LeMat-Bulk
Functional: GGA-PBE
Structure: relaxed

Cell: 7.3304 7.3304 7.3304 Å, 90.00 90.00 90.00°
Space group F-43m (No. 216)
Inequivalent atoms, fractional coordinates:
Al 0.0000 0.0000 0.0000 x4
Rh 0.1251 0.1251 0.6251 x16
Cl 0.2500 0.2500 0.2500 x4

Summary:
Spin magnetization   0.6 μB/cell
VASP energy   -5.336 eV per atom
ρ   7.99 g cm⁻³
Crystal system   cubic
Raw formation energy   0.496 eV per atom

***

(6)
Compound: Mn2CoMo
Source: Alexandria via LeMat-Bulk
Functional: GGA-PBE
Structure: relaxed

Cell: 2.6959 2.6959 25.0466 Å, 90.00 90.00 120.00°
Space group R-3m (No. 166, hexagonal axes)
Inequivalent atoms, fractional coordinates:
Mn 0.0000 0.0000 0.2446 x6
Co 0.0000 0.0000 0.5000 x3
Mo 0.0000 0.0000 0.0000 x3

Summary:
Calculated formation energy   1.11 eV per formula unit
Spin magnetization   19.2 μB/cell
VASP energy   -8.791 eV per atom
ρ   8.37 g cm⁻³
Crystal system   trigonal

***

Question: Number 4 is which compound?
Answer: PuPN2

***

Question: What is the formula in the fourth record?
Answer: PuPN2

***

Question: What is the formula in the third record?
Answer: CaSnB2Ru

***

Question: Among the records above, which one has the highest VASP energy?
Answer: Li4LaCd4